# PBE Zn2AgTe, optimized geometry
# - Polymorph energy (0 for the lowest one): 0.36 eV/f.u.
# - E_form (uncorrected): 0.086 eV per atom
# - Total magnetization: 0.00 μB per cell
# - Total energy: -8.196 eV per cell
data_Zn2AgTe
_chemical_formula_sum 'Zn2 Ag1 Te1'
_space_group_name_H-M_alt 'P 1'
_space_group_IT_number 1
_space_group_name_Hall 'P 1'
_cell_length_a 3.970
_cell_length_b 3.841
_cell_length_c 5.775
_cell_angle_alpha 90.00
_cell_angle_beta 107.09
_cell_angle_gamma 90.00
loop_
_atom_site_label
_atom_site_fract_x
_atom_site_fract_y
_atom_site_fract_z
Zn1 0.008 0.000 0.229
Zn2 0.992 0.000 0.771
Ag1 0.500 0.500 0.000
Te1 0.500 0.500 0.500